# 1
Compound: LiSn2Hg3
Source: Alexandria
Functional: PBE
Structure: relaxed

## Properties
Calculated total energy, eV per atom: -1.883

abc: 4.7336 7.1583 9.0190
angles: 90.70 92.11 70.69
Element x y z (fractional)
Hg 0.1683 0.6440 0.7872
Hg 0.8123 0.3560 0.7872
Hg 0.4885 0.0000 0.7624
Hg 0.8317 0.3560 0.2128
Hg 0.1877 0.6440 0.2128
Hg 0.5115 0.0000 0.2376
Li 0.6562 0.6876 0.0000
Li 0.3438 0.3124 0.0000
Sn 0.0000 0.0000 0.5000
Sn 0.6691 0.6618 0.5000
Sn 0.3309 0.3382 0.5000
Sn 0.0000 0.0000 0.0000

***

# 2
Compound: LiSnHg4
Source: Alexandria
Functional: PBE
Structure: relaxed

## Properties
Polymorph energy (0 for the lowest one), kJ per mole of atoms: 0.0

abc: 5.0636 6.1549 5.0938
angles: 91.13 90.00 114.29
Element x y z (fractional)
Li 0.0000 0.0000 0.0000
Hg 0.6679 0.3357 0.0034
Hg 0.1585 0.3170 0.4918
Hg 0.3321 0.6643 0.9966
Hg 0.8415 0.6830 0.5082
Sn 0.5000 0.0000 0.5000

***

# 3
Compound: Li4Sn2Hg3
Source: Alexandria
Functional: PBE
Structure: relaxed

## Properties
Polymorph energy (0 for the lowest one), kJ per mole of atoms: 0.0

abc: 4.4160 5.3017 9.0424
angles: 74.11 89.98 65.40
Element x y z (fractional)
Li 0.6539 0.6928 0.8867
Li 0.9809 0.0392 0.6631
Li 0.3461 0.3072 0.1133
Li 0.0191 0.9608 0.3369
Hg 0.6563 0.6872 0.5650
Hg 0.3437 0.3128 0.4350
Hg 0.0000 0.0000 0.0000
Sn 0.3138 0.3725 0.7760
Sn 0.6862 0.6275 0.2240

***

no.,magnetic moment (Bohr magnetons per cell)
1,0.00
2,0.00
3,0.00